# 1
This record from the Alexandria database describes a relaxed structure of LaMo2Cl. The functional is PBE.

Unit cell a=2.890 b=2.890 c=9.353 alpha=90.00 beta=90.00 gamma=90.00
Fractional positions:
1 La 0.500 0.500 0.750
2 Cl 0.500 0.500 0.250
3 Mo 0.000 0.000 0.036
4 Mo 0.000 0.000 0.464

Values from the calculation:
M_tot, μB per formula unit: 0.00
Space group: No. 123
E, eV for the cell shown: -25.02
ΔE_f (raw), meV/atom: 853
Energy above the most stable polymorph in this dataset, eV per formula unit: 4.13

# 2
This record from the Alexandria database describes a relaxed structure of La2MoCl. The functional is PBE.

Unit cell a=5.791 b=3.522 c=4.963 alpha=87.38 beta=90.00 gamma=90.00
Fractional positions:
1 Cl 0.500 0.839 0.870
2 La 0.000 0.856 0.900
3 La 0.500 0.322 0.367
4 Mo 0.000 0.483 0.363

Values from the calculation:
M_tot, μB per formula unit: 0.00
Space group: No. 6
E, eV for the cell shown: -24.44
ΔE_f (raw), meV/atom: -477
Energy above the most stable polymorph in this dataset, eV per formula unit: 0.04

# 3
This record from the Alexandria database describes a relaxed structure of La2MoCl. The functional is PBE.

Unit cell a=6.526 b=6.526 c=6.526 alpha=143.38 beta=143.38 gamma=52.75
Fractional positions:
1 La 0.000 0.000 0.000
2 La 0.250 0.750 0.500
3 Mo 0.500 0.500 0.000
4 Cl 0.750 0.250 0.500

Values from the calculation:
M_tot, μB per formula unit: 0.08
Space group: No. 119
E, eV for the cell shown: -22.53
ΔE_f (raw), meV/atom: 0
Energy above the most stable polymorph in this dataset, eV per formula unit: 1.95

# 4
This record from the Alexandria database describes a relaxed structure of LaMoCl2. The functional is PBE.

Unit cell a=4.953 b=4.953 c=4.953 alpha=60.00 beta=60.00 gamma=60.00
Fractional positions:
1 La 0.500 0.500 0.500
2 Cl 0.750 0.750 0.750
3 Cl 0.250 0.250 0.250
4 Mo 0.000 0.000 0.000

Values from the calculation:
M_tot, μB per formula unit: 3.14
Space group: No. 225
E, eV for the cell shown: -20.39
ΔE_f (raw), meV/atom: -234
Energy above the most stable polymorph in this dataset, eV per formula unit: 1.60

# 5
This record from the Alexandria database describes a relaxed structure of LaMo2Cl. The functional is PBE.

Unit cell a=3.183 b=3.183 c=9.122 alpha=90.00 beta=90.00 gamma=115.85
Fractional positions:
1 Mo 0.000 0.000 0.034
2 Mo 0.500 0.500 0.228
3 Cl 0.000 0.000 0.487
4 La 0.500 0.500 0.752

Values from the calculation:
M_tot, μB per formula unit: 0.00
Space group: No. 35
E, eV for the cell shown: -28.23
ΔE_f (raw), meV/atom: 50
Energy above the most stable polymorph in this dataset, eV per formula unit: 0.92

# 6
This record from the Alexandria database describes a relaxed structure of LaMoCl2. The functional is PBE.

Unit cell a=5.246 b=5.246 c=5.246 alpha=126.38 beta=126.38 gamma=79.26
Fractional positions:
1 Cl 0.000 0.000 0.000
2 Cl 0.500 0.500 0.000
3 La 0.250 0.750 0.500
4 Mo 0.750 0.250 0.500

Values from the calculation:
M_tot, μB per formula unit: 4.01
Space group: No. 139
E, eV for the cell shown: -20.40
ΔE_f (raw), meV/atom: -236
Energy above the most stable polymorph in this dataset, eV per formula unit: 1.59

# 7
This record from the Alexandria database describes a relaxed structure of LaMo2Cl. The functional is PBE.

Unit cell a=4.663 b=4.663 c=9.175 alpha=75.28 beta=75.28 gamma=90.00
Fractional positions:
1 Mo 0.448 0.625 0.250
2 Mo 0.302 0.125 0.250
3 Mo 0.875 0.552 0.750
4 Mo 0.375 0.698 0.750
5 Cl 0.500 0.500 0.000
6 Cl 0.250 0.750 0.500
7 La 0.000 0.000 0.000
8 La 0.750 0.250 0.500

Values from the calculation:
M_tot, μB per formula unit: 0.00
Space group: No. 122
E, eV for the cell shown: -51.98
ΔE_f (raw), meV/atom: 612
Energy above the most stable polymorph in this dataset, eV per formula unit: 3.17

# 8
This record from the Alexandria database describes a relaxed structure of La2MoCl. The functional is PBE.

Unit cell a=5.941 b=5.941 c=4.894 alpha=89.98 beta=89.98 gamma=35.82
Fractional positions:
1 Mo 0.513 0.513 0.625
2 La 0.729 0.729 0.625
3 La 0.000 0.000 0.125
4 Cl 0.259 0.259 0.125

Values from the calculation:
M_tot, μB per formula unit: 0.07
Space group: No. 38
E, eV for the cell shown: -24.23
ΔE_f (raw), meV/atom: -425
Energy above the most stable polymorph in this dataset, eV per formula unit: 0.25